[1]
The following is a PBE-GGA calculation of a relaxed structure of LaTiF2, from Alexandria via LeMat-Bulk.

a = 4.7316 Å, b = 4.7316 Å, c = 13.0334 Å
α = 90.00°, β = 90.00°, γ = 90.00°
Positions (direct):
La  0.0000  0.0000  0.0000
La  0.0000  0.5000  0.2500
La  0.5000  0.0000  0.7500
La  0.5000  0.5000  0.5000
Ti  0.0000  0.0000  0.5000
Ti  0.0000  0.5000  0.7500
Ti  0.5000  0.0000  0.2500
Ti  0.5000  0.5000  0.0000
F  0.0983  0.2500  0.6250
F  0.2500  0.5983  0.8750
F  0.2500  0.9017  0.3750
F  0.4017  0.2500  0.1250
F  0.5983  0.7500  0.1250
F  0.7500  0.0983  0.3750
F  0.7500  0.4017  0.8750
F  0.9017  0.7500  0.6250

Results
ΔE to the lowest computed polymorph: 108.8 meV per atom
energy relative to the elements, uncorrected: -44.67 kcal/mol of atoms
E_tot: -6.078 eV/atom
V: 18.24 Å³ per atom
total magnetic moment: 4.000 Bohr magnetons per cell

[2]
The following is a PBE-GGA calculation of a relaxed structure of LaTiF2, from Alexandria via LeMat-Bulk.

a = 6.5264 Å, b = 6.5264 Å, c = 6.5264 Å
α = 90.00°, β = 90.00°, γ = 90.00°
Positions (direct):
La  0.0000  0.0000  0.0000
La  0.0000  0.5000  0.5000
La  0.5000  0.0000  0.5000
La  0.5000  0.5000  0.0000
Ti  0.0000  0.0000  0.5000
Ti  0.0000  0.5000  0.0000
Ti  0.5000  0.0000  0.0000
Ti  0.5000  0.5000  0.5000
F  0.2500  0.2500  0.2500
F  0.2500  0.2500  0.7500
F  0.2500  0.7500  0.2500
F  0.2500  0.7500  0.7500
F  0.7500  0.2500  0.2500
F  0.7500  0.2500  0.7500
F  0.7500  0.7500  0.2500
F  0.7500  0.7500  0.7500

Results
ΔE to the lowest computed polymorph: 643.7 meV per atom
energy relative to the elements, uncorrected: -32.34 kcal/mol of atoms
E_tot: -5.544 eV/atom
V: 17.37 Å³ per atom
total magnetic moment: 13.758 Bohr magnetons per cell

[3]
The following is a PBE-GGA calculation of a relaxed structure of La2TiF, from Alexandria via LeMat-Bulk.

a = 7.4004 Å, b = 7.4004 Å, c = 7.4004 Å
α = 90.00°, β = 90.00°, γ = 90.00°
Positions (direct):
La  0.2500  0.2500  0.2500
La  0.2500  0.2500  0.7500
La  0.2500  0.7500  0.2500
La  0.2500  0.7500  0.7500
La  0.7500  0.2500  0.2500
La  0.7500  0.2500  0.7500
La  0.7500  0.7500  0.2500
La  0.7500  0.7500  0.7500
Ti  0.0000  0.0000  0.0000
Ti  0.0000  0.5000  0.5000
Ti  0.5000  0.0000  0.5000
Ti  0.5000  0.5000  0.0000
F  0.0000  0.0000  0.5000
F  0.0000  0.5000  0.0000
F  0.5000  0.0000  0.0000
F  0.5000  0.5000  0.5000

Results
ΔE to the lowest computed polymorph: 302.7 meV per atom
energy relative to the elements, uncorrected: -7.58 kcal/mol of atoms
E_tot: -5.234 eV/atom
V: 25.33 Å³ per atom
total magnetic moment: 15.099 Bohr magnetons per cell